K2AcMo3O12 PBE+U optimized geometry; ρ = 4.4 g cm⁻³; total moment = 1.06 Bohr magnetons per cell; space-group type = No. 166; total energy = -6.65 eV/atom; crystal system = trigonal
1.0
3.8009 2.1945 5.9466
-3.8009 2.1945 5.9466
0.0000 -4.3889 5.9466
K Ac Mo O
2 1 3 12
Cartesian
0.0000 0.0000 2.3167
0.0000 0.0000 15.5231
0.0000 0.0000 8.9199
-1.9005 -1.0972 5.9466
-1.9005 1.0972 11.8932
0.0000 2.1945 5.9466
-1.9845 -1.1458 7.8271
0.0000 -1.5731 6.0625
-1.3623 0.7865 6.0625
0.0000 -2.2916 10.0127
-1.9845 1.1458 10.0127
-1.3623 -0.7865 11.7773
1.3623 0.7865 6.0625
1.9845 -1.1458 7.8270
0.0000 2.2916 7.8270
1.3623 -0.7865 11.7772
0.0000 1.5730 11.7772
1.9845 1.1458 10.0127